The following is a DFT calculation (meta-GGA SCAN) of a crystal of ZrTa3Te relaxed with PBEsol.

It has space group Pm-3m (No. 221), with a = 4.8889 Å, b = 4.8889 Å, c = 4.8889 Å, α = 90.00°, β = 90.00° and γ = 90.00°. Symmetry generates all atoms from Zr at (0.0000, 0.0000, 0.0000), Ta at (0.0000, 0.0000, 0.5000) and Te at (0.5000, 0.5000, 0.5000).

The calculation puts the formation energy without anion corrections at 1.8665 eV/atom.